(1)
Entry from Alexandria via LeMat-Bulk: crystalline Ca16Mg12Sn at its relaxed geometry (PBE).

Computed properties:
The magnetization comes out at 0.000 μB per cell. The density of states at the Fermi level comes out at 25.70 states/eV/f.u. Its space group is Cm (8). As for the energy of formation from the pure elements: -0.083 eV per atom.

Unit cell a=10.5075 b=10.5075 c=10.8087 alpha=109.39 beta=109.39 gamma=107.92
Sites, in units of the cell vectors:
Ca (0.3725, 0.3725, 0.3228)
Ca (0.0029, 0.0029, 0.0105)
Ca (0.9891, 0.9891, 0.6645)
Ca (0.2889, 0.2889, 0.6920)
Ca (0.6617, 0.4217, 0.0138)
Ca (0.5867, 0.2817, 0.5944)
Ca (0.0008, 0.6945, 0.4014)
Ca (0.0014, 0.6424, 0.0060)
Ca (0.7145, 0.3348, 0.3162)
Ca (0.3994, 0.9924, 0.6818)
Ca (0.9924, 0.3994, 0.6818)
Ca (0.3348, 0.7145, 0.3162)
Ca (0.6424, 0.0014, 0.0060)
Ca (0.6945, 0.0008, 0.4014)
Ca (0.2817, 0.5867, 0.5944)
Ca (0.4217, 0.6617, 0.0138)
Mg (0.8265, 0.8265, 0.1843)
Mg (0.6363, 0.6363, 0.8238)
Mg (0.3465, 0.1585, 0.9799)
Mg (0.8172, 0.6348, 0.6418)
Mg (0.1896, 0.0001, 0.3554)
Mg (0.3696, 0.9950, 0.1752)
Mg (0.1800, 0.8041, 0.8182)
Mg (0.8041, 0.1800, 0.8182)
Mg (0.9950, 0.3696, 0.1752)
Mg (0.0001, 0.1896, 0.3554)
Mg (0.6348, 0.8172, 0.6418)
Mg (0.1585, 0.3465, 0.9799)
Sn (0.6563, 0.6563, 0.3341)

(2)
Entry from Alexandria via LeMat-Bulk: crystalline CsZnInCl6 at its relaxed geometry (PBE).

Computed properties:
The magnetization comes out at 0.000 μB per cell. The density of states at the Fermi level comes out at 0.00 states/eV/f.u. The uncorrected formation energy is -1.328 eV per atom. Its space group is P312 (149).

Unit cell a=6.5933 b=6.5933 c=7.8631 alpha=90.00 beta=90.00 gamma=59.99
Sites, in units of the cell vectors:
Cs (0.0000, 0.0000, 0.0000)
Zn (0.3333, 0.3333, 0.5000)
In (0.6666, 0.6667, 0.5000)
Cl (0.0067, 0.3723, 0.3156)
Cl (0.3723, 0.0068, 0.6844)
Cl (0.6209, 0.3723, 0.6844)
Cl (0.0067, 0.6210, 0.6844)
Cl (0.3723, 0.6210, 0.3156)
Cl (0.6210, 0.0067, 0.3156)

(3)
Entry from Alexandria via LeMat-Bulk: crystalline Pr2Ag3Pt at its relaxed geometry (PBE).

Computed properties:
The magnetization comes out at 0.000 μB per cell. The density of states at the Fermi level comes out at 4.20 states/eV/f.u. Its space group is Pmm2 (25). As for the energy of formation from the pure elements: -0.455 eV per atom.

Unit cell a=3.7102 b=4.8095 c=8.1142 alpha=90.00 beta=90.00 gamma=90.00
Sites, in units of the cell vectors:
Pr (0.0000, 0.5000, 0.0319)
Pr (0.0000, 0.0000, 0.4777)
Ag (0.5000, 0.0000, 0.8274)
Ag (0.5000, 0.0000, 0.1622)
Ag (0.5000, 0.5000, 0.6699)
Pt (0.5000, 0.5000, 0.3309)

(4)
Entry from Alexandria via LeMat-Bulk: crystalline PmTlGe4 at its relaxed geometry (PBE).

Computed properties:
The magnetization comes out at 0.000 μB per cell. The density of states at the Fermi level comes out at 2.92 states/eV/f.u. Its space group is F-43m (216). As for the energy of formation from the pure elements: -0.169 eV per atom.

Unit cell a=5.7175 b=5.7175 c=5.7175 alpha=60.00 beta=60.00 gamma=60.00
Sites, in units of the cell vectors:
Tl (0.0000, 0.0000, 0.0000)
Ge (0.6244, 0.6244, 0.1269)
Ge (0.6244, 0.1269, 0.6244)
Ge (0.6244, 0.6244, 0.6244)
Ge (0.1269, 0.6244, 0.6244)
Pm (0.2500, 0.2500, 0.2500)

(5)
Entry from Alexandria via LeMat-Bulk: crystalline SbAs2S at its relaxed geometry (PBE).

Computed properties:
The magnetization comes out at 0.000 μB per cell. The density of states at the Fermi level comes out at 1.71 states/eV/f.u. The uncorrected formation energy is 0.315 eV per atom. Its space group is I-42d (122). The calculation puts the distance to the lowest polymorph of the same formula at 148.3 meV/atom.

Unit cell a=6.8810 b=6.8810 c=6.6389 alpha=58.79 beta=58.79 gamma=90.00
Sites, in units of the cell vectors:
Sb (0.0000, 0.0000, 0.0000)
Sb (0.7500, 0.2500, 0.5000)
As (0.6015, 0.1250, 0.2500)
As (0.1485, 0.6250, 0.2500)
As (0.3750, 0.3985, 0.7500)
As (0.8750, 0.8515, 0.7500)
S (0.5000, 0.5000, 0.0000)
S (0.2500, 0.7500, 0.5000)

(6)
Entry from Alexandria via LeMat-Bulk: crystalline Hf6Ni12Au at its relaxed geometry (PBE).

Computed properties:
The magnetization comes out at 0.000 μB per cell. The density of states at the Fermi level comes out at 12.54 states/eV/f.u. Its space group is R-3m (166). As for the energy of formation from the pure elements: -0.053 eV per atom.

Unit cell a=7.1955 b=7.1955 c=7.1955 alpha=108.00 beta=108.00 gamma=108.00
Sites, in units of the cell vectors:
Hf (0.7557, 0.3066, 0.3066)
Hf (0.3066, 0.3066, 0.7557)
Hf (0.3066, 0.7557, 0.3066)
Hf (0.6934, 0.6934, 0.2443)
Hf (0.2443, 0.6934, 0.6934)
Hf (0.6934, 0.2443, 0.6934)
Ni (0.8944, 0.1056, 0.5000)
Ni (0.8462, 0.6368, 0.6368)
Ni (0.6368, 0.6368, 0.8462)
Ni (0.3632, 0.1538, 0.3632)
Ni (0.3632, 0.3632, 0.1538)
Ni (0.1538, 0.3632, 0.3632)
Ni (0.1056, 0.5000, 0.8944)
Ni (0.5000, 0.8944, 0.1056)
Ni (0.1056, 0.8944, 0.5000)
Ni (0.8944, 0.5000, 0.1056)
Ni (0.5000, 0.1056, 0.8944)
Ni (0.6368, 0.8462, 0.6368)
Au (0.0000, 0.0000, 0.0000)

(7)
Entry from Alexandria via LeMat-Bulk: crystalline CePmI4 at its relaxed geometry (PBE).

Computed properties:
The magnetization comes out at 1.792 μB per cell. The density of states at the Fermi level comes out at 9.01 states/eV/f.u. The uncorrected formation energy is -1.255 eV per atom. Its space group is P2/m (10). The calculation puts the distance to the lowest polymorph of the same formula at 0.0 meV/atom.

Unit cell a=4.2325 b=8.4442 c=7.3702 alpha=106.42 beta=90.00 gamma=90.00
Sites, in units of the cell vectors:
Ce (0.0000, 0.5000, 0.5000)
Pm (0.5000, 0.5000, 0.0000)
I (0.0000, 0.2493, 0.7549)
I (0.0000, 0.7507, 0.2451)
I (0.5000, 0.2465, 0.2464)
I (0.5000, 0.7535, 0.7536)

(8)
Entry from Alexandria via LeMat-Bulk: crystalline AsCS2 at its relaxed geometry (PBE).

Computed properties:
The magnetization comes out at 0.000 μB per cell. The density of states at the Fermi level comes out at 1.81 states/eV/f.u. The uncorrected formation energy is 0.778 eV per atom. Its space group is R-3m (166). The calculation puts the distance to the lowest polymorph of the same formula at 287.6 meV/atom.

Unit cell a=7.5322 b=7.5322 c=7.5322 alpha=26.97 beta=26.97 gamma=26.97
Sites, in units of the cell vectors:
C (0.0000, 0.0000, 0.0000)
As (0.5000, 0.5000, 0.5000)
S (0.9274, 0.9274, 0.9274)
S (0.0726, 0.0726, 0.0726)